# 1
DyAgSn2 | the Alexandria database | meta-GGA SCAN | PBEsol geometry; SG = P4/mmm; V = 22.33 A^3/atom; raw total energy = -152.90 eV/cell
1.0
-3.6553 0.5833 2.1819
-1.6514 -3.8822 -1.7288
1.7367 -2.3093 3.5268
Sn Dy Ag
2 1 1
Direct
0.5000 0.0000 0.5000
0.5000 0.5000 0.0000
0.0000 0.0000 0.0000
0.0000 0.5000 0.5000

***

# 2
Dy2ZnAg | the Alexandria database | meta-GGA SCAN | PBEsol geometry; SG = Fm-3m; V = 22.12 A^3/atom; raw total energy = -142.08 eV/cell
1.0
5.0019 0.0000 0.0000
2.5010 4.3318 0.0000
2.5010 1.4439 4.0841
Zn Dy Ag
1 2 1
Direct
0.5000 0.5000 0.5000
0.7500 0.7500 0.7500
0.2500 0.2500 0.2500
0.0000 0.0000 0.0000

***

# 3
Er14Ag51 | the Alexandria database | meta-GGA SCAN | PBEsol geometry; SG = P-6; V = 18.79 A^3/atom; raw total energy = -2320.68 eV/cell
1.0
9.1163 0.0000 0.0000
0.0000 12.4385 0.0000
0.0000 -6.2192 10.7720
Ag Er
51 14
Direct
0.8482 0.4977 0.1149
0.1533 0.3733 0.4896
0.1519 0.4977 0.1149
0.3329 0.3370 0.8947
0.0000 0.8734 0.8726
0.7570 0.9216 0.1945
0.8467 0.1163 0.6267
0.5000 0.0601 0.2407
0.8482 0.6172 0.5023
0.2430 0.9216 0.1945
0.7757 0.0737 0.8156
0.6671 0.3370 0.8947
0.5000 0.7593 0.8194
0.3337 0.4369 0.3335
0.0000 0.6667 0.3333
0.6942 0.3333 0.6667
0.3337 0.6665 0.1034
0.6671 0.5578 0.6630
0.6663 0.4369 0.3335
0.5000 0.2347 0.1781
0.1533 0.5104 0.8837
0.3058 0.3333 0.6667
0.1519 0.8851 0.3828
0.5000 0.8219 0.0567
0.2430 0.8055 0.7272
0.0000 0.3333 0.6667
0.7757 0.7419 0.9263
0.7570 0.2728 0.0784
0.8467 0.3733 0.4896
0.5000 0.1806 0.9399
0.6663 0.8966 0.5631
0.0000 0.9992 0.1266
0.7570 0.8055 0.7272
0.6671 0.1053 0.4422
0.2243 0.7419 0.9263
0.1533 0.1163 0.6267
0.6945 0.6667 0.3333
0.5000 0.9433 0.7653
0.3055 0.6667 0.3333
0.8482 0.8851 0.3828
0.7757 0.1844 0.2581
0.2430 0.2728 0.0784
0.3337 0.8966 0.5631
0.2243 0.1844 0.2581
0.8467 0.5104 0.8837
0.2243 0.0737 0.8156
0.3329 0.5578 0.6630
0.6663 0.6665 0.1034
0.0000 0.1274 0.0008
0.3329 0.1053 0.4422
0.1519 0.6172 0.5023
0.0000 0.2860 0.8873
0.0000 0.3848 0.2700
0.0000 0.7300 0.1149
0.5000 0.6697 0.5302
0.6923 0.0000 0.0000
0.3077 0.0000 0.0000
0.0000 0.1127 0.3987
0.5000 0.3269 0.4651
0.5000 0.4698 0.1395
0.5000 0.8605 0.3303
0.0000 0.8851 0.6152
0.0000 0.6013 0.7140
0.5000 0.1382 0.6731
0.5000 0.5349 0.8618

***

# 4
ErGaAg | the Alexandria database | meta-GGA SCAN | PBEsol geometry; SG = C2/m; V = 19.78 A^3/atom; raw total energy = -199.55 eV/cell
1.0
4.4488 0.0000 0.0000
2.2244 5.1298 0.0128
2.2244 0.4922 5.2025
Er Ga Ag
2 2 2
Direct
0.5353 0.2210 0.7084
0.4647 0.7790 0.2916
0.8409 0.2013 0.1169
0.1591 0.7987 0.8831
0.1728 0.3749 0.2796
0.8272 0.6251 0.7204

***

# 5
Er2AgHg | the Alexandria database | meta-GGA SCAN | PBEsol geometry; SG = Fm-3m; V = 22.90 A^3/atom; raw total energy = -202.46 eV/cell
1.0
-4.9659 0.8126 0.5274
-3.0339 -3.7616 1.4983
-2.0700 0.1053 4.6155
Ag Er Hg
1 2 1
Direct
0.5000 0.5000 0.5000
0.2500 0.2500 0.2500
0.7500 0.7500 0.7500
0.0000 0.0000 0.0000

***

# 6
ErAgHg2 | the Alexandria database | meta-GGA SCAN | PBEsol geometry; SG = Fm-3m; V = 20.52 A^3/atom; raw total energy = -219.80 eV/cell
1.0
-1.6408 4.2328 1.7845
0.4397 0.9746 4.7592
3.1571 3.3969 1.5123
Hg Er Ag
2 1 1
Direct
0.2500 0.2500 0.2500
0.7500 0.7500 0.7500
0.0000 0.0000 0.0000
0.5000 0.5000 0.5000